[1]
Density functional theory data (PBE) for a geometry-optimized SrTaCu2Br structure.

Calculated values
- D(E_F) (states/eV/cell) = 3.28
- uncorrected formation energy (meV per atom) = 1003.9

a b c (Å): 4.9385 4.8619 4.9385
angles (deg): 90.00 90.00 90.00
Each line ends with the local moment (μB).
Positions (direct):
Ta  0.0000  0.5000  0.0000  0.76
Cu  0.0000  0.0000  0.5000  0.02
Br  0.0000  0.0000  0.0000  -0.02
Sr  0.5000  0.5000  0.5000  0.04
Cu  0.5000  0.0000  0.0000  0.00

---

[2]
Density functional theory data (PBE) for a geometry-optimized NaYZr structure.

Calculated values
- ΔH_f (0 K) (meV per atom) = 309
- distance to the lowest polymorph of the same formula (meV/atom) = 214.8
- D(E_F) (states/eV/cell) = 7.61

a b c (Å): 3.2614 5.5965 9.8178
angles (deg): 90.00 98.83 90.00
Positions (direct):
Zr  0.5672  0.5000  0.4188
Na  0.3645  0.0000  0.9802
Na  0.2512  0.5000  0.7895
Y  0.6789  0.0000  0.6202
Zr  0.9364  0.5000  0.1539
Y  0.0360  0.0000  0.3166

---

[3]
Density functional theory data (PBE) for a geometry-optimized SrLaCdHg structure.

Calculated values
- ΔH_f (0 K) (meV per atom) = -427
- D(E_F) (states/eV/cell) = 4.07

a b c (Å): 3.9714 3.9714 7.9962
angles (deg): 90.00 90.00 90.00
Each line ends with the local moment (μB).
Positions (direct):
Hg  0.5000  0.5000  0.1223  0.00
Sr  0.0000  0.0000  0.8602  0.00
Cd  0.5000  0.5000  0.5927  0.00
La  0.0000  0.0000  0.3528  0.06

---

[4]
Density functional theory data (PBE) for a geometry-optimized SnMoS3 structure.

Calculated values
- distance to the lowest polymorph of the same formula (meV/atom) = 1008.4
- D(E_F) (states/eV/cell) = 5.72
- uncorrected formation energy (meV per atom) = 895.9

a b c (Å): 4.9367 4.9367 4.9367
angles (deg): 90.00 90.00 90.00
Each line ends with the local moment (μB).
Positions (direct):
S  0.5000  0.0000  0.0000  -0.12
Mo  0.5000  0.5000  0.5000  3.55
Sn  0.0000  0.0000  0.0000  0.02
S  0.0000  0.0000  0.5000  -0.10
S  0.0000  0.5000  0.0000  -0.21

---

[5]
Density functional theory data (PBE) for a geometry-optimized MgMnAgHg structure.

Calculated values
- ΔH_f (0 K) (meV per atom) = 26
- D(E_F) (states/eV/cell) = 1.29

a b c (Å): 4.6934 4.6934 4.6934
angles (deg): 60.00 60.00 60.00
Each line ends with the local moment (μB).
Positions (direct):
Ag  0.2500  0.2500  0.2500  0.01
Hg  0.7500  0.7500  0.7500  -0.03
Mg  0.0000  0.0000  0.0000  -0.02
Mn  0.5000  0.5000  0.5000  3.85

---

[6]
Density functional theory data (PBE) for a geometry-optimized NiP2Se structure.

Calculated values
- D(E_F) (states/eV/cell) = 1.60
- uncorrected formation energy (meV per atom) = -3.0

a b c (Å): 3.4711 3.4711 6.1358
angles (deg): 73.66 73.66 59.95
Positions (direct):
Se  0.5079  0.5079  0.4771
P  0.7388  0.7388  0.7839
P  0.9975  0.9975  0.0070
Ni  0.2557  0.2557  0.2320